(1)
Entry from the Alexandria database: a relaxed La5NdGa2 crystal (PBE-GGA).

a = 5.4960 Å, b = 5.4960 Å, c = 20.1294 Å
α = 90.00°, β = 90.00°, γ = 120.00°
Space group P6_3/mmc (No. 194)
Symmetry-distinct sites (fractional):
La 0.0000 0.0000 0.1520 x4
La 0.3333 0.6667 0.0570 x4
La 0.3333 0.6667 0.2500 x2
Nd 0.3333 0.6667 0.7500 x2
Ga 0.3333 0.6667 0.5977 x4

=====

(2)
Entry from the Alexandria database: a relaxed HfTaTiVGa crystal (PBE-GGA).

a = 10.1760 Å, b = 3.5208 Å, c = 6.2604 Å
α = 90.00°, β = 126.75°, γ = 90.00°
Space group Cm (No. 8)
Symmetry-distinct sites (fractional):
Hf 0.0000 0.0000 0.0000 x2
Ta 0.3144 0.5000 0.2612 x2
Ti 0.0734 0.5000 0.5219 x2
V 0.2525 0.0000 0.9158 x2
Ga 0.2954 0.0000 0.5612 x2

=====

Number 1: total magnetization 0.00 μB/cell, electronic total energy -73.80 eV for the cell shown. Number 2: total magnetization 0.00 μB/cell, electronic total energy -83.61 eV for the cell shown.